No. 1
First-principles (PBE) data for a geometry-optimized LaReI2O structure, as listed in the Alexandria database.

Unit cell a=6.5625 b=6.5625 c=4.3127 alpha=90.00 beta=90.00 gamma=90.00
Last column: nearest neighbours and their distance in Å.
Sites, in units of the cell vectors:
La 0.0000 0.0000 0.0000  2 O 2.16
Re 0.5000 0.5000 0.5000  8 I 3.93, 2 Re 4.31
I 0.0000 0.5000 0.0000  2 La 3.28
I 0.5000 0.0000 0.0000  2 La 3.28
O 0.0000 0.0000 0.5000  2 La 2.16

Properties
- Electronic total energy: -5.22 eV per atom
- Offset from the most stable computed form: 316 meV per atom
- Uncorrected formation energy: -0.137 eV/atom
- Spin magnetization: 5.95 Bohr magnetons per cell
- Density: 5.319 g/cm³

No. 2
First-principles (PBE) data for a geometry-optimized Fe2NiAg structure, as listed in the Alexandria database.

Unit cell a=2.6358 b=2.6358 c=7.6519 alpha=90.00 beta=90.00 gamma=90.00
Last column: nearest neighbours and their distance in Å.
Sites, in units of the cell vectors:
Fe 0.0000 0.0000 0.2208  4 Ni 2.52, 4 Fe 2.64
Fe 0.0000 0.0000 0.7792  4 Ni 2.52, 4 Fe 2.64
Ni 0.5000 0.5000 0.0000  8 Fe 2.52, 4 Ni 2.64
Ag 0.5000 0.5000 0.5000  4 Ag 2.64, 8 Fe 2.84

Properties
- Electronic total energy: -6.19 eV per atom
- Offset from the most stable computed form: 14 meV per atom
- Energy relative to the elements: 0.20 eV/atom
- Spin magnetization: 6.39 Bohr magnetons per cell
- Density: 8.692 g/cm³

No. 3
First-principles (PBE) data for a geometry-optimized Cu2NiTe8 structure, as listed in the Alexandria database.

Unit cell a=6.6143 b=6.6143 c=6.9255 alpha=91.58 beta=91.58 gamma=77.37
Last column: nearest neighbours and their distance in Å.
Sites, in units of the cell vectors:
Cu 0.1642 0.1642 0.3304  4 Te 2.57-2.71, 1 Ni 2.80
Cu 0.8358 0.8358 0.6696  4 Te 2.57-2.71, 1 Ni 2.80
Ni 0.0000 0.0000 0.0000  6 Te 2.56-2.77, 2 Cu 2.80
Te 0.1224 0.5948 0.8642  1 Cu 2.57, 1 Ni 2.77
Te 0.1423 0.1423 0.7048  1 Ni 2.56, 1 Cu 2.61
Te 0.4052 0.8776 0.1358  1 Cu 2.57, 1 Ni 2.77
Te 0.4265 0.4265 0.3264  1 Cu 2.71, 1 Te 2.80
Te 0.5735 0.5735 0.6736  1 Cu 2.71, 1 Te 2.80
Te 0.5948 0.1224 0.8642  1 Cu 2.57, 1 Ni 2.77
Te 0.8577 0.8577 0.2952  1 Ni 2.56, 1 Cu 2.61
Te 0.8776 0.4052 0.1358  1 Cu 2.57, 1 Ni 2.77

Properties
- Electronic total energy: -3.51 eV per atom
- Uncorrected formation energy: 0.043 eV/atom
- Spin magnetization: 0.00 Bohr magnetons per cell
- Density: 6.781 g/cm³

No. 4
First-principles (PBE) data for a geometry-optimized Be17VPd structure, as listed in the Alexandria database.

Unit cell a=5.4936 b=5.4936 c=5.4936 alpha=82.69 beta=82.69 gamma=82.69
Last column: nearest neighbours and their distance in Å.
Sites, in units of the cell vectors:
Be 0.0554 0.0554 0.0554  7 Be 2.16-2.27
Be 0.1560 0.4599 0.8564  8 Be 2.06-2.23
Be 0.1560 0.8564 0.4599  8 Be 2.06-2.23
Be 0.1696 0.1696 0.6488  10 Be 2.06-2.27
Be 0.1696 0.6488 0.1696  10 Be 2.06-2.27
Be 0.2576 0.2576 0.2576  7 Be 2.15-2.30
Be 0.3102 0.8081 0.8081  9 Be 2.08-2.27
Be 0.4599 0.1560 0.8564  8 Be 2.06-2.23
Be 0.4599 0.8564 0.1560  8 Be 2.06-2.23
Be 0.5043 0.5043 0.9914  9 Be 2.08-2.30
Be 0.5043 0.9914 0.5043  9 Be 2.08-2.30
Be 0.6488 0.1696 0.1696  10 Be 2.06-2.27
Be 0.8081 0.3102 0.8081  9 Be 2.08-2.27
Be 0.8081 0.8081 0.3102  9 Be 2.08-2.27
Be 0.8564 0.1560 0.4599  8 Be 2.06-2.23
Be 0.8564 0.4599 0.1560  8 Be 2.06-2.23
Be 0.9914 0.5043 0.5043  9 Be 2.08-2.30
V 0.4948 0.4948 0.4948  19 Be 2.53-2.75
Pd 0.8119 0.8119 0.8119  16 Be 2.54-2.76

Properties
- Electronic total energy: -4.23 eV per atom
- Energy relative to the elements: -0.14 eV/atom
- Spin magnetization: 0.00 Bohr magnetons per cell
- Density: 3.182 g/cm³

No. 5
First-principles (PBE) data for a geometry-optimized Al2ZnCr structure, as listed in the Alexandria database.

Unit cell a=3.9105 b=3.9105 c=3.7628 alpha=90.00 beta=90.00 gamma=90.00
Last column: nearest neighbours and their distance in Å.
Sites, in units of the cell vectors:
Al 0.0000 0.5000 0.0000  4 Cr 2.71, 4 Zn 2.71, 4 Al 2.77
Al 0.5000 0.0000 0.0000  4 Cr 2.71, 4 Zn 2.71, 4 Al 2.77
Zn 0.0000 0.0000 0.5000  8 Al 2.71, 4 Cr 2.77
Cr 0.5000 0.5000 0.5000  8 Al 2.71, 4 Zn 2.77

Properties
- Electronic total energy: -4.67 eV per atom
- Energy relative to the elements: -0.08 eV/atom
- Spin magnetization: 2.29 Bohr magnetons per cell
- Density: 4.945 g/cm³

No. 6
First-principles (PBE) data for a geometry-optimized SmDy4Er4 structure, as listed in the Alexandria database.

Unit cell a=7.9090 b=7.9090 c=7.9090 alpha=95.70 beta=95.70 gamma=143.24
Last column: nearest neighbours and their distance in Å.
Sites, in units of the cell vectors:
Sm 0.0000 0.0000 0.0000  8 Er 3.54, 4 Dy 3.54
Dy 0.0000 0.3334 0.3334  5 Dy 3.53-3.54, 6 Er 3.53, 1 Sm 3.54
Dy 0.0000 0.6666 0.6666  5 Dy 3.53-3.54, 6 Er 3.53, 1 Sm 3.54
Dy 0.3334 0.0000 0.3334  5 Dy 3.53-3.54, 6 Er 3.53, 1 Sm 3.54
Dy 0.6666 0.0000 0.6666  5 Dy 3.53-3.54, 6 Er 3.53, 1 Sm 3.54
Er 0.3329 0.3329 0.6657  4 Er 3.52-3.55, 6 Dy 3.53, 2 Sm 3.54
Er 0.3329 0.6671 0.0000  4 Er 3.52-3.55, 6 Dy 3.53, 2 Sm 3.54
Er 0.6671 0.3329 0.0000  4 Er 3.52-3.55, 6 Dy 3.53, 2 Sm 3.54
Er 0.6671 0.6671 0.3343  4 Er 3.52-3.55, 6 Dy 3.53, 2 Sm 3.54

Properties
- Electronic total energy: -4.58 eV per atom
- Offset from the most stable computed form: 0 meV per atom
- Energy relative to the elements: 0.02 eV/atom
- Spin magnetization: 0.00 Bohr magnetons per cell
- Density: 8.685 g/cm³

Question: Among the records above, which one has the highest density?
Answer: Fe2NiAg

Question: Look up the electronic total energy of the sixth one.
Answer: -4.58 eV per atom